1:
! MnReOs2 | the Alexandria database | PBE | optimized geometry; values from VASP
&SYSTEM
  ibrav = 0, nat = 4, ntyp = 3
/
ATOMIC_SPECIES
Mn 54.94 Mn.upf
Os 190.23 Os.upf
Re 186.21 Re.upf
ATOMIC_POSITIONS crystal
Mn 0.500 0.500 0.750
Os 0.000 0.000 0.989
Os 0.000 0.000 0.511
Re 0.500 0.500 0.250
CELL_PARAMETERS angstrom
2.705 0.000 0.000
0.000 3.810 0.000
0.000 0.000 5.400
! **SG**: Pmmm, No. 47


2:
! MnReOs2 | the Alexandria database | PBE | optimized geometry; values from VASP
&SYSTEM
  ibrav = 0, nat = 8, ntyp = 3
/
ATOMIC_SPECIES
Re 186.21 Re.upf
Mn 54.94 Mn.upf
Os 190.23 Os.upf
ATOMIC_POSITIONS crystal
Re 0.000 0.000 0.000
Re 0.750 0.250 0.500
Mn 0.500 0.500 0.000
Mn 0.250 0.750 0.500
Os 0.590 0.125 0.250
Os 0.160 0.625 0.250
Os 0.375 0.410 0.750
Os 0.875 0.840 0.750
CELL_PARAMETERS angstrom
-1.735 -1.286 -3.100
-0.560 -3.330 1.695
-8.796 0.554 2.392
! **SG**: I-42d, No. 122


3:
! MnReOs2 | the Alexandria database | PBE | optimized geometry; values from VASP
&SYSTEM
  ibrav = 0, nat = 4, ntyp = 3
/
ATOMIC_SPECIES
Mn 54.94 Mn.upf
Os 190.23 Os.upf
Re 186.21 Re.upf
ATOMIC_POSITIONS crystal
Mn 0.000 0.500 0.500
Os 0.000 0.000 0.000
Os 0.500 0.500 0.000
Re 0.500 0.000 0.500
CELL_PARAMETERS angstrom
4.665 0.007 0.000
-1.545 4.401 0.000
0.000 0.000 2.723
! **SG**: Cmmm, No. 65


4:
! MnReOs2 | the Alexandria database | PBE | optimized geometry; values from VASP
&SYSTEM
  ibrav = 0, nat = 4, ntyp = 3
/
ATOMIC_SPECIES
Mn 54.94 Mn.upf
Re 186.21 Re.upf
Os 190.23 Os.upf
ATOMIC_POSITIONS crystal
Mn 0.706 0.706 0.883
Re 0.492 0.492 0.523
Os 0.041 0.041 0.877
Os 0.261 0.261 0.217
CELL_PARAMETERS angstrom
-2.863 -2.448 -1.689
1.120 -2.969 -2.641
-0.192 -4.343 1.574
! **SG**: R3m, No. 160


Most stable: 1


1:
! MnReOs2 | the Alexandria database | PBE | optimized geometry; values from VASP
&SYSTEM
  ibrav = 0, nat = 4, ntyp = 3
/
ATOMIC_SPECIES
Mn 54.94 Mn.upf
Os 190.23 Os.upf
Re 186.21 Re.upf
ATOMIC_POSITIONS crystal
Mn 0.500 0.500 0.754
Os 0.000 0.000 0.987
Os 0.500 0.500 0.249
Re 0.000 0.000 0.509
CELL_PARAMETERS angstrom
-0.916 -2.208 1.283
3.527 -1.374 0.155
0.747 2.454 4.757
! **SG**: Pmm2, No. 25


2:
! MnReOs2 | the Alexandria database | PBE | optimized geometry; values from VASP
&SYSTEM
  ibrav = 0, nat = 4, ntyp = 3
/
ATOMIC_SPECIES
Mn 54.94 Mn.upf
Os 190.23 Os.upf
Re 186.21 Re.upf
ATOMIC_POSITIONS crystal
Mn 0.500 0.500 0.750
Os 0.000 0.000 0.988
Os 0.000 0.000 0.512
Re 0.500 0.500 0.250
CELL_PARAMETERS angstrom
2.713 0.000 0.000
0.000 2.713 0.000
0.000 0.000 7.501
! **SG**: P4/mmm, No. 123


Most stable: 2


1:
! MnReOs2 | the Alexandria database | PBE | optimized geometry; values from VASP
&SYSTEM
  ibrav = 0, nat = 4, ntyp = 3
/
ATOMIC_SPECIES
Mn 54.94 Mn.upf
Os 190.23 Os.upf
Re 186.21 Re.upf
ATOMIC_POSITIONS crystal
Mn 0.250 0.250 0.248
Os 0.003 0.003 0.999
Os 0.748 0.748 0.755
Re 0.498 0.498 0.498
CELL_PARAMETERS angstrom
4.682 0.000 0.000
3.895 2.599 0.000
0.755 0.229 4.604
! **SG**: Cm, No. 8


2:
! MnReOs2 | the Alexandria database | PBE | optimized geometry; values from VASP
&SYSTEM
  ibrav = 0, nat = 4, ntyp = 3
/
ATOMIC_SPECIES
Mn 54.94 Mn.upf
Os 190.23 Os.upf
Re 186.21 Re.upf
ATOMIC_POSITIONS crystal
Mn 0.750 0.750 0.750
Os 0.003 0.003 0.003
Os 0.497 0.497 0.497
Re 0.250 0.250 0.250
CELL_PARAMETERS angstrom
8.894 0.009 0.005
8.478 2.688 0.005
8.478 1.316 2.343
! **SG**: R-3m, No. 166


Most stable: 1


1:
! MnReOs2 | the Alexandria database | PBE | optimized geometry; values from VASP
&SYSTEM
  ibrav = 0, nat = 4, ntyp = 3
/
ATOMIC_SPECIES
Mn 54.94 Mn.upf
Os 190.23 Os.upf
Re 186.21 Re.upf
ATOMIC_POSITIONS crystal
Mn 0.250 0.250 0.250
Os 0.000 0.000 0.004
Os 0.500 0.500 0.496
Re 0.750 0.750 0.750
CELL_PARAMETERS angstrom
4.656 -0.001 0.002
3.866 2.594 0.002
0.771 0.235 4.619
! **SG**: C2/m, No. 12


2:
! MnReOs2 | the Alexandria database | PBE | optimized geometry; values from VASP
&SYSTEM
  ibrav = 0, nat = 4, ntyp = 3
/
ATOMIC_SPECIES
Mn 54.94 Mn.upf
Os 190.23 Os.upf
Re 186.21 Re.upf
ATOMIC_POSITIONS crystal
Mn 0.750 0.250 0.500
Os 0.000 0.000 0.000
Os 0.500 0.500 0.000
Re 0.250 0.750 0.500
CELL_PARAMETERS angstrom
-1.690 -1.037 4.202
3.438 -1.769 2.576
-0.242 3.896 -2.519
! **SG**: I4/mmm, No. 139


3:
! MnReOs2 | the Alexandria database | PBE | optimized geometry; values from VASP
&SYSTEM
  ibrav = 0, nat = 4, ntyp = 3
/
ATOMIC_SPECIES
Mn 54.94 Mn.upf
Os 190.23 Os.upf
Re 186.21 Re.upf
ATOMIC_POSITIONS crystal
Mn 0.500 0.500 0.750
Os 0.000 0.000 0.992
Os 0.000 0.000 0.508
Re 0.500 0.500 0.250
CELL_PARAMETERS angstrom
-0.970 -1.375 2.097
2.352 -0.865 -0.972
4.294 5.440 5.552
! **SG**: Cmmm, No. 65


Most stable: 2


1:
! MnReOs2 | the Alexandria database | PBE | optimized geometry; values from VASP
&SYSTEM
  ibrav = 0, nat = 4, ntyp = 3
/
ATOMIC_SPECIES
Mn 54.94 Mn.upf
Os 190.23 Os.upf
Re 186.21 Re.upf
ATOMIC_POSITIONS crystal
Mn 0.000 0.000 0.500
Os 0.000 0.000 0.000
Os 0.500 0.500 0.000
Re 0.500 0.500 0.500
CELL_PARAMETERS angstrom
2.710 0.000 0.000
0.000 4.679 -0.004
0.000 3.111 4.396
! **SG**: P2/m, No. 10


2:
! MnReOs2 | the Alexandria database | PBE | optimized geometry; values from VASP
&SYSTEM
  ibrav = 0, nat = 4, ntyp = 3
/
ATOMIC_SPECIES
Mn 54.94 Mn.upf
Os 190.23 Os.upf
Re 186.21 Re.upf
ATOMIC_POSITIONS crystal
Mn 0.500 0.500 0.755
Os 0.000 0.000 0.987
Os 0.500 0.500 0.249
Re 0.000 0.000 0.509
CELL_PARAMETERS angstrom
2.709 0.000 0.000
0.000 2.709 0.000
0.000 0.000 7.517
! **SG**: P4mm, No. 99


Most stable: 1


1:
! MnReOs2 | the Alexandria database | PBE | optimized geometry; values from VASP
&SYSTEM
  ibrav = 0, nat = 4, ntyp = 3
/
ATOMIC_SPECIES
Mn 54.94 Mn.upf
Os 190.23 Os.upf
Re 186.21 Re.upf
ATOMIC_POSITIONS crystal
Mn 0.500 0.500 0.750
Os 0.000 0.000 0.989
Os 0.500 0.500 0.252
Re 0.000 0.000 0.508
CELL_PARAMETERS angstrom
-0.155 -1.669 -2.091
-0.093 -1.152 2.418
-8.871 0.781 0.033
! **SG**: Cmm2, No. 35


2:
! MnReOs2 | the Alexandria database | PBE | optimized geometry; values from VASP
&SYSTEM
  ibrav = 0, nat = 4, ntyp = 3
/
ATOMIC_SPECIES
Mn 54.94 Mn.upf
Os 190.23 Os.upf
Re 186.21 Re.upf
ATOMIC_POSITIONS crystal
Mn 0.000 0.500 0.500
Os 0.000 0.000 0.000
Os 0.500 0.500 0.000
Re 0.500 0.000 0.500
CELL_PARAMETERS angstrom
4.470 0.000 0.000
0.000 4.470 0.000
0.000 0.000 2.890
! **SG**: P4/mmm, No. 123


3:
! MnReOs2 | the Alexandria database | PBE | optimized geometry; values from VASP
&SYSTEM
  ibrav = 0, nat = 4, ntyp = 3
/
ATOMIC_SPECIES
Mn 54.94 Mn.upf
Os 190.23 Os.upf
Re 186.21 Re.upf
ATOMIC_POSITIONS crystal
Mn 0.750 0.250 0.500
Os 0.000 0.000 0.000
Os 0.250 0.750 0.500
Re 0.500 0.500 0.000
CELL_PARAMETERS angstrom
4.677 0.000 0.000
1.569 4.406 0.000
-3.123 -2.203 2.696
! **SG**: I-4m2, No. 119


4:
! MnReOs2 | the Alexandria database | PBE | optimized geometry; values from VASP
&SYSTEM
  ibrav = 0, nat = 4, ntyp = 3
/
ATOMIC_SPECIES
Mn 54.94 Mn.upf
Os 190.23 Os.upf
Re 186.21 Re.upf
ATOMIC_POSITIONS crystal
Mn 0.250 0.750 0.500
Os 0.025 0.025 0.000
Os 0.475 0.475 0.000
Re 0.750 0.250 0.500
CELL_PARAMETERS angstrom
5.205 -0.120 -0.051
2.674 4.467 0.051
-3.405 -3.141 2.375
! **SG**: Immm, No. 71


Most stable: 3


1:
! MnReOs3 | the Alexandria database | PBE | optimized geometry; values from VASP
&SYSTEM
  ibrav = 0, nat = 5, ntyp = 3
/
ATOMIC_SPECIES
Re 186.21 Re.upf
Mn 54.94 Mn.upf
Os 190.23 Os.upf
ATOMIC_POSITIONS crystal
Re 0.000 0.000 0.000
Mn 0.500 0.500 0.500
Os 0.000 0.500 0.000
Os 0.000 0.000 0.500
Os 0.500 0.000 0.000
CELL_PARAMETERS angstrom
-3.719 -1.600 -2.390
2.560 -3.623 -1.559
-1.311 -2.534 3.737
! **SG**: Pm-3m, No. 221


2:
! MnReOs3 | the Alexandria database | PBE | optimized geometry; values from VASP
&SYSTEM
  ibrav = 0, nat = 10, ntyp = 3
/
ATOMIC_SPECIES
Mn 54.94 Mn.upf
Re 186.21 Re.upf
Os 190.23 Os.upf
ATOMIC_POSITIONS crystal
Mn 0.993 0.151 0.742
Mn 0.993 0.651 0.742
Re 0.335 0.901 0.400
Re 0.651 0.400 0.084
Os 0.252 0.291 0.199
Os 0.733 0.011 0.285
Os 0.450 0.791 0.002
Os 0.838 0.901 0.896
Os 0.147 0.401 0.588
Os 0.535 0.511 0.482
CELL_PARAMETERS angstrom
4.384 1.034 -2.666
1.610 8.061 1.062
-0.554 0.986 5.110
! **SG**: P-1, No. 2


3:
! MnReOs3 | the Alexandria database | PBE | optimized geometry; values from VASP
&SYSTEM
  ibrav = 0, nat = 5, ntyp = 3
/
ATOMIC_SPECIES
Re 186.21 Re.upf
Mn 54.94 Mn.upf
Os 190.23 Os.upf
ATOMIC_POSITIONS crystal
Re 0.500 0.500 0.500
Mn 0.000 0.000 0.000
Os 0.000 0.500 0.000
Os 0.000 0.000 0.500
Os 0.500 0.000 0.000
CELL_PARAMETERS angstrom
-3.941 -1.562 0.993
1.489 -1.289 3.884
-1.099 3.855 1.701
! **SG**: Pm-3m, No. 221


Most stable: 2


1:
! Mn2ReOs2 | the Alexandria database | PBE | optimized geometry; values from VASP
&SYSTEM
  ibrav = 0, nat = 10, ntyp = 3
/
ATOMIC_SPECIES
Re 186.21 Re.upf
Mn 54.94 Mn.upf
Os 190.23 Os.upf
ATOMIC_POSITIONS crystal
Re 0.000 0.000 0.000
Re 0.500 0.500 0.000
Mn 0.379 0.879 0.000
Mn 0.879 0.621 0.000
Mn 0.621 0.121 0.000
Mn 0.121 0.379 0.000
Os 0.174 0.674 0.500
Os 0.674 0.826 0.500
Os 0.826 0.326 0.500
Os 0.326 0.174 0.500
CELL_PARAMETERS angstrom
6.985 0.000 0.000
0.000 6.985 0.000
0.000 0.000 2.721
! **SG**: P4/mbm, No. 127


2:
! Mn2ReOs2 | the Alexandria database | PBE | optimized geometry; values from VASP
&SYSTEM
  ibrav = 0, nat = 10, ntyp = 3
/
ATOMIC_SPECIES
Re 186.21 Re.upf
Mn 54.94 Mn.upf
Os 190.23 Os.upf
ATOMIC_POSITIONS crystal
Re 0.000 0.000 0.000
Re 0.500 0.500 0.000
Mn 0.168 0.668 0.500
Mn 0.668 0.832 0.500
Mn 0.832 0.332 0.500
Mn 0.332 0.168 0.500
Os 0.372 0.872 0.000
Os 0.872 0.628 0.000
Os 0.628 0.128 0.000
Os 0.128 0.372 0.000
CELL_PARAMETERS angstrom
-6.317 2.105 2.488
2.344 -0.834 6.658
0.853 2.538 0.018
! **SG**: P4/mbm, No. 127


Most stable: 1


1:
! MnOsRh | the Alexandria database | PBE | optimized geometry; values from VASP
&SYSTEM
  ibrav = 0, nat = 3, ntyp = 3
/
ATOMIC_SPECIES
Mn 54.94 Mn.upf
Os 190.23 Os.upf
Rh 102.91 Rh.upf
ATOMIC_POSITIONS crystal
Mn 0.994 0.994 0.000
Os 0.340 0.340 0.000
Rh 0.665 0.665 0.000
CELL_PARAMETERS angstrom
4.652 0.009 -0.013
2.375 4.000 0.013
-3.142 -2.655 2.172
! **SG**: Imm2, No. 44


2:
! MnOsRh | the Alexandria database | PBE | optimized geometry; values from VASP
&SYSTEM
  ibrav = 0, nat = 3, ntyp = 3
/
ATOMIC_SPECIES
Mn 54.94 Mn.upf
Os 190.23 Os.upf
Rh 102.91 Rh.upf
ATOMIC_POSITIONS crystal
Mn 0.000 0.000 0.004
Os 0.667 0.333 0.318
Rh 0.333 0.667 0.678
CELL_PARAMETERS angstrom
2.682 0.000 0.000
-1.341 2.323 0.000
0.000 0.000 6.476
! **SG**: P3m1, No. 156


3:
! MnOsRh | the Alexandria database | PBE | optimized geometry; values from VASP
&SYSTEM
  ibrav = 0, nat = 3, ntyp = 3
/
ATOMIC_SPECIES
Mn 54.94 Mn.upf
Os 190.23 Os.upf
Rh 102.91 Rh.upf
ATOMIC_POSITIONS crystal
Mn 0.750 0.750 0.750
Os 0.000 0.000 0.000
Rh 0.500 0.500 0.500
CELL_PARAMETERS angstrom
3.998 0.000 0.000
1.999 3.462 0.000
1.999 1.154 3.264
! **SG**: F-43m, No. 216


Most stable: 1


1:
! MnOsRh | the Alexandria database | PBE | optimized geometry; values from VASP
&SYSTEM
  ibrav = 0, nat = 3, ntyp = 3
/
ATOMIC_SPECIES
Mn 54.94 Mn.upf
Os 190.23 Os.upf
Rh 102.91 Rh.upf
ATOMIC_POSITIONS crystal
Mn 0.000 0.000 0.833
Os 0.667 0.333 0.333
Rh 0.333 0.667 0.833
CELL_PARAMETERS angstrom
4.215 0.000 0.000
-2.108 3.651 0.000
0.000 0.000 2.644
! **SG**: P-6m2, No. 187


2:
! MnOsRh | the Alexandria database | PBE | optimized geometry; values from VASP
&SYSTEM
  ibrav = 0, nat = 12, ntyp = 3
/
ATOMIC_SPECIES
Mn 54.94 Mn.upf
Os 190.23 Os.upf
Rh 102.91 Rh.upf
ATOMIC_POSITIONS crystal
Mn 0.375 0.470 0.154
Mn 0.875 0.030 0.846
Mn 0.625 0.530 0.846
Mn 0.125 0.970 0.154
Os 0.374 0.037 0.845
Os 0.874 0.463 0.155
Os 0.626 0.963 0.155
Os 0.126 0.537 0.845
Rh 0.125 0.750 0.496
Rh 0.625 0.750 0.504
Rh 0.875 0.250 0.504
Rh 0.375 0.250 0.496
CELL_PARAMETERS angstrom
-2.653 3.985 -2.314
-3.789 -1.120 2.416
3.108 4.331 3.896
! **SG**: P2_1/c, No. 14


3:
! MnOsRh | the Alexandria database | PBE | optimized geometry; values from VASP
&SYSTEM
  ibrav = 0, nat = 3, ntyp = 3
/
ATOMIC_SPECIES
Mn 54.94 Mn.upf
Os 190.23 Os.upf
Rh 102.91 Rh.upf
ATOMIC_POSITIONS crystal
Mn 0.997 0.997 0.000
Os 0.340 0.340 0.000
Rh 0.663 0.663 0.000
CELL_PARAMETERS angstrom
5.896 0.002 0.000
4.678 3.589 0.000
-5.287 -1.795 1.894
! **SG**: I4mm, No. 107


Most stable: 2